Entry 1:
First-principles (PBE) data for a relaxed structure of RbAlSb3, as listed in the Alexandria database.

Results
polymorph energy (0 for the lowest one): 0.314 eV/atom
formation energy from raw total energies: 0.16 eV per atom

```
data_RbAlSb3
_symmetry_space_group_name_H-M 'P 1'
_symmetry_Int_Tables_number 1
_cell_length_a 5.490
_cell_length_b 5.490
_cell_length_c 5.490
_cell_angle_alpha 90.00
_cell_angle_beta 90.00
_cell_angle_gamma 90.00
loop_
_symmetry_equiv_pos_as_xyz
'x,y,z'
loop_
_atom_site_label
_atom_site_fract_x
_atom_site_fract_y
_atom_site_fract_z
Rb1 0.000 0.000 0.000
Al1 0.500 0.500 0.500
Sb1 0.000 0.500 0.500
Sb2 0.500 0.000 0.500
Sb3 0.500 0.500 0.000
```

---

Entry 2:
First-principles (PBE) data for a relaxed structure of RbAlSb3, as listed in the Alexandria database.

Results
polymorph energy (0 for the lowest one): 1.636 eV/atom
formation energy from raw total energies: 1.48 eV per atom

```
data_RbAlSb3
_symmetry_space_group_name_H-M 'P 1'
_symmetry_Int_Tables_number 1
_cell_length_a 6.044
_cell_length_b 6.044
_cell_length_c 6.044
_cell_angle_alpha 90.00
_cell_angle_beta 90.00
_cell_angle_gamma 90.00
loop_
_symmetry_equiv_pos_as_xyz
'x,y,z'
loop_
_atom_site_label
_atom_site_fract_x
_atom_site_fract_y
_atom_site_fract_z
Rb1 0.000 0.000 0.000
Al1 0.500 0.500 0.500
Sb1 0.000 0.000 0.500
Sb2 0.000 0.500 0.000
Sb3 0.500 0.000 0.000
```

---

Entry 3:
First-principles (PBE) data for a relaxed structure of Rb2AlSb, as listed in the Alexandria database.

Results
polymorph energy (0 for the lowest one): 0.199 eV/atom
formation energy from raw total energies: 0.37 eV per atom

```
data_Rb2AlSb
_symmetry_space_group_name_H-M 'P 1'
_symmetry_Int_Tables_number 1
_cell_length_a 12.989
_cell_length_b 12.989
_cell_length_c 12.989
_cell_angle_alpha 157.89
_cell_angle_beta 157.89
_cell_angle_gamma 31.47
loop_
_symmetry_equiv_pos_as_xyz
'x,y,z'
loop_
_atom_site_label
_atom_site_fract_x
_atom_site_fract_y
_atom_site_fract_z
Rb1 0.123 0.625 0.998
Rb2 0.375 0.373 0.498
Rb3 0.627 0.125 0.002
Rb4 0.875 0.877 0.502
Al1 0.000 0.000 0.000
Al2 0.750 0.250 0.500
Sb1 0.250 0.750 0.500
Sb2 0.500 0.500 0.000
```

---

Entry 4:
First-principles (PBE) data for a relaxed structure of Rb3AlSb, as listed in the Alexandria database.

Results
polymorph energy (0 for the lowest one): 0.000 eV/atom
formation energy from raw total energies: 0.35 eV per atom

```
data_Rb3AlSb
_symmetry_space_group_name_H-M 'P 1'
_symmetry_Int_Tables_number 1
_cell_length_a 7.060
_cell_length_b 7.060
_cell_length_c 7.060
_cell_angle_alpha 90.00
_cell_angle_beta 90.00
_cell_angle_gamma 90.00
loop_
_symmetry_equiv_pos_as_xyz
'x,y,z'
loop_
_atom_site_label
_atom_site_fract_x
_atom_site_fract_y
_atom_site_fract_z
Rb1 0.000 0.000 0.500
Rb2 0.000 0.500 0.000
Rb3 0.500 0.000 0.000
Al1 0.500 0.500 0.500
Sb1 0.000 0.000 0.000
```

---

Entry 5:
First-principles (PBE) data for a relaxed structure of RbAlSb3, as listed in the Alexandria database.

Results
polymorph energy (0 for the lowest one): 0.000 eV/atom
formation energy from raw total energies: -0.16 eV per atom

```
data_RbAlSb3
_symmetry_space_group_name_H-M 'P 1'
_symmetry_Int_Tables_number 1
_cell_length_a 7.043
_cell_length_b 9.139
_cell_length_c 5.672
_cell_angle_alpha 90.00
_cell_angle_beta 90.00
_cell_angle_gamma 90.00
loop_
_symmetry_equiv_pos_as_xyz
'x,y,z'
loop_
_atom_site_label
_atom_site_fract_x
_atom_site_fract_y
_atom_site_fract_z
Rb1 0.000 0.084 0.000
Rb2 0.500 0.916 0.500
Al1 0.000 0.533 0.302
Al2 0.500 0.467 0.802
Sb1 0.000 0.760 0.608
Sb2 0.246 0.325 0.486
Sb3 0.254 0.675 0.986
Sb4 0.500 0.240 0.108
Sb5 0.746 0.675 0.986
Sb6 0.754 0.325 0.486
```

---

Entry 6:
First-principles (PBE) data for a relaxed structure of Rb2Al2Sb, as listed in the Alexandria database.

Results
polymorph energy (0 for the lowest one): 0.361 eV/atom
formation energy from raw total energies: 0.46 eV per atom

```
data_Rb2Al2Sb
_symmetry_space_group_name_H-M 'P 1'
_symmetry_Int_Tables_number 1
_cell_length_a 11.178
_cell_length_b 11.178
_cell_length_c 3.066
_cell_angle_alpha 90.00
_cell_angle_beta 90.00
_cell_angle_gamma 90.00
loop_
_symmetry_equiv_pos_as_xyz
'x,y,z'
loop_
_atom_site_label
_atom_site_fract_x
_atom_site_fract_y
_atom_site_fract_z
Rb1 0.209 0.291 0.000
Rb2 0.291 0.791 0.000
Rb3 0.709 0.209 0.000
Rb4 0.791 0.709 0.000
Al1 0.081 0.581 0.500
Al2 0.419 0.081 0.500
Al3 0.581 0.919 0.500
Al4 0.919 0.419 0.500
Sb1 0.000 0.000 0.000
Sb2 0.500 0.500 0.000
```

---

Entry 7:
First-principles (PBE) data for a relaxed structure of Rb2Al2Sb, as listed in the Alexandria database.

Results
polymorph energy (0 for the lowest one): 0.000 eV/atom
formation energy from raw total energies: 0.09 eV per atom

```
data_Rb2Al2Sb
_symmetry_space_group_name_H-M 'P 1'
_symmetry_Int_Tables_number 1
_cell_length_a 7.486
_cell_length_b 7.486
_cell_length_c 6.078
_cell_angle_alpha 90.00
_cell_angle_beta 90.00
_cell_angle_gamma 90.00
loop_
_symmetry_equiv_pos_as_xyz
'x,y,z'
loop_
_atom_site_label
_atom_site_fract_x
_atom_site_fract_y
_atom_site_fract_z
Rb1 0.191 0.309 0.000
Rb2 0.309 0.809 0.000
Rb3 0.691 0.191 0.000
Rb4 0.809 0.691 0.000
Al1 0.122 0.622 0.500
Al2 0.378 0.122 0.500
Al3 0.622 0.878 0.500
Al4 0.878 0.378 0.500
Sb1 0.000 0.000 0.500
Sb2 0.500 0.500 0.500
```

---

Entry 8:
First-principles (PBE) data for a relaxed structure of Rb2Al2Sb, as listed in the Alexandria database.

Results
polymorph energy (0 for the lowest one): 0.008 eV/atom
formation energy from raw total energies: 0.10 eV per atom

```
data_Rb2Al2Sb
_symmetry_space_group_name_H-M 'P 1'
_symmetry_Int_Tables_number 1
_cell_length_a 12.468
_cell_length_b 12.468
_cell_length_c 12.468
_cell_angle_alpha 162.49
_cell_angle_beta 162.49
_cell_angle_gamma 24.86
loop_
_symmetry_equiv_pos_as_xyz
'x,y,z'
loop_
_atom_site_label
_atom_site_fract_x
_atom_site_fract_y
_atom_site_fract_z
Rb1 0.106 0.106 0.000
Rb2 0.894 0.894 0.000
Al1 0.250 0.750 0.500
Al2 0.750 0.250 0.500
Sb1 0.500 0.500 0.000
```

---

Entry 9:
First-principles (PBE) data for a relaxed structure of Rb2AlSb2, as listed in the Alexandria database.

Results
polymorph energy (0 for the lowest one): 0.148 eV/atom
formation energy from raw total energies: -0.16 eV per atom

```
data_Rb2AlSb2
_symmetry_space_group_name_H-M 'P 1'
_symmetry_Int_Tables_number 1
_cell_length_a 7.655
_cell_length_b 7.655
_cell_length_c 6.062
_cell_angle_alpha 90.00
_cell_angle_beta 90.00
_cell_angle_gamma 90.00
loop_
_symmetry_equiv_pos_as_xyz
'x,y,z'
loop_
_atom_site_label
_atom_site_fract_x
_atom_site_fract_y
_atom_site_fract_z
Rb1 0.168 0.332 0.000
Rb2 0.332 0.832 0.000
Rb3 0.668 0.168 0.000
Rb4 0.832 0.668 0.000
Al1 0.000 0.000 0.500
Al2 0.500 0.500 0.500
Sb1 0.143 0.643 0.500
Sb2 0.357 0.143 0.500
Sb3 0.643 0.857 0.500
Sb4 0.857 0.357 0.500
```

---

Entry 10:
First-principles (PBE) data for a relaxed structure of RbAl2Sb2, as listed in the Alexandria database.

Results
formation energy from raw total energies: -0.09 eV per atom

```
data_RbAl2Sb2
_symmetry_space_group_name_H-M 'P 1'
_symmetry_Int_Tables_number 1
_cell_length_a 4.037
_cell_length_b 4.037
_cell_length_c 9.154
_cell_angle_alpha 90.00
_cell_angle_beta 90.00
_cell_angle_gamma 90.00
loop_
_symmetry_equiv_pos_as_xyz
'x,y,z'
loop_
_atom_site_label
_atom_site_fract_x
_atom_site_fract_y
_atom_site_fract_z
Rb1 0.000 0.000 0.000
Al1 0.000 0.500 0.500
Al2 0.500 0.000 0.500
Sb1 0.500 0.500 0.280
Sb2 0.500 0.500 0.720
```

---

Entry 11:
First-principles (PBE) data for a relaxed structure of RbAl2Sb2, as listed in the Alexandria database.

Results
formation energy from raw total energies: 0.04 eV per atom

```
data_RbAl2Sb2
_symmetry_space_group_name_H-M 'P 1'
_symmetry_Int_Tables_number 1
_cell_length_a 8.448
_cell_length_b 8.448
_cell_length_c 3.850
_cell_angle_alpha 90.00
_cell_angle_beta 90.00
_cell_angle_gamma 90.00
loop_
_symmetry_equiv_pos_as_xyz
'x,y,z'
loop_
_atom_site_label
_atom_site_fract_x
_atom_site_fract_y
_atom_site_fract_z
Rb1 0.000 0.000 0.000
Rb2 0.500 0.500 0.000
Al1 0.118 0.382 0.000
Al2 0.382 0.882 0.000
Al3 0.618 0.118 0.000
Al4 0.882 0.618 0.000
Sb1 0.150 0.650 0.500
Sb2 0.350 0.150 0.500
Sb3 0.650 0.850 0.500
Sb4 0.850 0.350 0.500
```

---

Entry 12:
First-principles (PBE) data for a relaxed structure of RbAl2Sb3, as listed in the Alexandria database.

Results
formation energy from raw total energies: -0.21 eV per atom

```
data_RbAl2Sb3
_symmetry_space_group_name_H-M 'P 1'
_symmetry_Int_Tables_number 1
_cell_length_a 8.956
_cell_length_b 8.956
_cell_length_c 6.683
_cell_angle_alpha 90.00
_cell_angle_beta 90.00
_cell_angle_gamma 127.11
loop_
_symmetry_equiv_pos_as_xyz
'x,y,z'
loop_
_atom_site_label
_atom_site_fract_x
_atom_site_fract_y
_atom_site_fract_z
Rb1 0.199 0.801 0.750
Rb2 0.801 0.199 0.250
Al1 0.314 0.314 0.000
Al2 0.314 0.314 0.500
Al3 0.686 0.686 0.000
Al4 0.686 0.686 0.500
Sb1 0.066 0.296 0.750
Sb2 0.296 0.066 0.250
Sb3 0.395 0.605 0.250
Sb4 0.605 0.395 0.750
Sb5 0.704 0.934 0.750
Sb6 0.934 0.704 0.250
```